Entry 1:
First-principles (PBE) data for Ce2ZrP after structural relaxation, as listed in Alexandria.

Values from the calculation:
**V**: 26.4 Å³ per atom
**ΔH_f (0 K)**: -0.2221 eV per atom

Lattice parameters (Å, degrees): 3.569 3.569 28.689 90.00 90.00 120.00
Atoms (fractional coordinates):
Ce 0.000 0.000 0.103
Ce 0.000 0.000 0.897
Ce 0.333 0.667 0.564
Ce 0.333 0.667 0.770
Ce 0.667 0.333 0.230
Ce 0.667 0.333 0.436
Zr 0.000 0.000 0.000
Zr 0.333 0.667 0.667
Zr 0.667 0.333 0.333
P 0.000 0.000 0.500
P 0.333 0.667 0.167
P 0.667 0.333 0.833



Entry 2:
First-principles (PBE) data for CeZrP2 after structural relaxation, as listed in Alexandria.

Values from the calculation:
**Energy above the lowest structure with this stoichiometry**: 0 meV/atom
**V**: 21.0 Å³ per atom
**ΔH_f (0 K)**: -1.4678 eV per atom

Lattice parameters (Å, degrees): 3.893 3.893 19.183 90.00 90.00 120.00
Atoms (fractional coordinates):
Ce 0.000 0.000 0.000
Ce 0.333 0.667 0.667
Ce 0.667 0.333 0.333
Zr 0.000 0.000 0.500
Zr 0.333 0.667 0.167
Zr 0.667 0.333 0.833
P 0.000 0.000 0.244
P 0.000 0.000 0.756
P 0.333 0.667 0.423
P 0.333 0.667 0.910
P 0.667 0.333 0.090
P 0.667 0.333 0.577



Entry 3:
First-principles (PBE) data for CePa8 after structural relaxation, as listed in Alexandria.

Values from the calculation:
**Energy above the lowest structure with this stoichiometry**: 0 meV/atom
**V**: 25.3 Å³ per atom
**ΔH_f (0 K)**: 0.0142 eV per atom

Lattice parameters (Å, degrees): 7.363 7.363 7.363 95.75 95.75 143.10
Atoms (fractional coordinates):
Ce 0.000 0.000 0.000
Pa 0.000 0.334 0.334
Pa 0.000 0.666 0.666
Pa 0.332 0.332 0.665
Pa 0.332 0.668 0.000
Pa 0.334 0.000 0.334
Pa 0.666 0.000 0.666
Pa 0.668 0.332 0.000
Pa 0.668 0.668 0.335



Entry 4:
First-principles (PBE) data for Ce5Pa after structural relaxation, as listed in Alexandria.

Values from the calculation:
**Energy above the lowest structure with this stoichiometry**: 57 meV/atom
**V**: 25.8 Å³ per atom
**ΔH_f (0 K)**: 0.0836 eV per atom

Lattice parameters (Å, degrees): 3.222 3.222 17.199 90.00 90.00 120.00
Atoms (fractional coordinates):
Ce 0.000 0.000 0.000
Ce 0.000 0.000 0.335
Ce 0.000 0.000 0.665
Ce 0.333 0.667 0.168
Ce 0.333 0.667 0.832
Pa 0.333 0.667 0.500



Entry 5:
First-principles (PBE) data for Ce5Pa after structural relaxation, as listed in Alexandria.

Values from the calculation:
**Energy above the lowest structure with this stoichiometry**: 0 meV/atom
**V**: 25.8 Å³ per atom
**ΔH_f (0 K)**: 0.0264 eV per atom

Lattice parameters (Å, degrees): 4.686 14.179 4.657 90.00 90.00 90.00
Atoms (fractional coordinates):
Ce 0.000 0.000 0.000
Ce 0.000 0.166 0.500
Ce 0.000 0.334 0.000
Ce 0.000 0.666 0.000
Ce 0.000 0.834 0.500
Ce 0.500 0.166 0.000
Ce 0.500 0.334 0.500
Ce 0.500 0.500 0.000
Ce 0.500 0.666 0.500
Ce 0.500 0.834 0.000
Pa 0.000 0.500 0.500
Pa 0.500 0.000 0.500



Entry 6:
First-principles (PBE) data for Ce2Pa after structural relaxation, as listed in Alexandria.

Values from the calculation:
**Energy above the lowest structure with this stoichiometry**: 24 meV/atom
**V**: 25.0 Å³ per atom
**ΔH_f (0 K)**: 0.1001 eV per atom

Lattice parameters (Å, degrees): 3.106 3.106 31.067 90.00 90.00 90.00
Atoms (fractional coordinates):
Ce 0.000 0.250 0.292
Ce 0.000 0.250 0.458
Ce 0.000 0.750 0.542
Ce 0.000 0.750 0.708
Ce 0.500 0.250 0.042
Ce 0.500 0.250 0.208
Ce 0.500 0.750 0.792
Ce 0.500 0.750 0.958
Pa 0.000 0.250 0.875
Pa 0.000 0.750 0.125
Pa 0.500 0.250 0.625
Pa 0.500 0.750 0.375



Entry 7:
First-principles (PBE) data for Ce2Pa7 after structural relaxation, as listed in Alexandria.

Values from the calculation:
**V**: 25.3 Å³ per atom
**ΔH_f (0 K)**: 0.0220 eV per atom

Lattice parameters (Å, degrees): 5.708 5.708 8.079 90.00 90.00 120.00
Atoms (fractional coordinates):
Ce 0.333 0.667 0.000
Ce 0.667 0.333 0.000
Pa 0.000 0.000 0.000
Pa 0.000 0.332 0.666
Pa 0.000 0.668 0.334
Pa 0.332 0.000 0.666
Pa 0.332 0.332 0.334
Pa 0.668 0.000 0.334
Pa 0.668 0.668 0.666



Entry 8:
First-principles (PBE) data for Ce3Pa2 after structural relaxation, as listed in Alexandria.

Values from the calculation:
**Energy above the lowest structure with this stoichiometry**: 0 meV/atom
**V**: 25.6 Å³ per atom
**ΔH_f (0 K)**: 0.0162 eV per atom

Lattice parameters (Å, degrees): 3.298 3.298 40.691 90.00 90.00 120.00
Atoms (fractional coordinates):
Ce 0.000 0.000 0.000
Ce 0.000 0.000 0.400
Ce 0.000 0.000 0.600
Ce 0.333 0.667 0.067
Ce 0.333 0.667 0.266
Ce 0.333 0.667 0.667
Ce 0.667 0.333 0.333
Ce 0.667 0.333 0.734
Ce 0.667 0.333 0.933
Pa 0.000 0.000 0.200
Pa 0.000 0.000 0.800
Pa 0.333 0.667 0.467
Pa 0.333 0.667 0.866
Pa 0.667 0.333 0.134
Pa 0.667 0.333 0.533



Entry 9:
First-principles (PBE) data for CePa5 after structural relaxation, as listed in Alexandria.

Values from the calculation:
**Energy above the lowest structure with this stoichiometry**: 0 meV/atom
**V**: 25.3 Å³ per atom
**ΔH_f (0 K)**: 0.0203 eV per atom

Lattice parameters (Å, degrees): 4.673 13.998 4.641 90.00 90.00 90.00
Atoms (fractional coordinates):
Ce 0.000 0.000 0.000
Ce 0.500 0.500 0.000
Pa 0.000 0.167 0.500
Pa 0.000 0.333 0.000
Pa 0.000 0.500 0.500
Pa 0.000 0.667 0.000
Pa 0.000 0.833 0.500
Pa 0.500 0.000 0.500
Pa 0.500 0.167 0.000
Pa 0.500 0.333 0.500
Pa 0.500 0.667 0.500
Pa 0.500 0.833 0.000



Entry 10:
First-principles (PBE) data for Ce7Pa after structural relaxation, as listed in Alexandria.

Values from the calculation:
**V**: 25.9 Å³ per atom
**ΔH_f (0 K)**: 0.0138 eV per atom

Lattice parameters (Å, degrees): 6.638 6.638 6.638 60.00 60.00 60.00
Atoms (fractional coordinates):
Ce 0.000 0.000 0.000
Ce 0.000 0.000 0.500
Ce 0.000 0.500 0.000
Ce 0.000 0.500 0.500
Ce 0.500 0.000 0.000
Ce 0.500 0.000 0.500
Ce 0.500 0.500 0.000
Pa 0.500 0.500 0.500



Entry 11:
First-principles (PBE) data for CePa5 after structural relaxation, as listed in Alexandria.

Values from the calculation:
**Energy above the lowest structure with this stoichiometry**: 6 meV/atom
**V**: 25.1 Å³ per atom
**ΔH_f (0 K)**: 0.0259 eV per atom

Lattice parameters (Å, degrees): 3.187 3.187 17.101 90.00 90.00 120.00
Atoms (fractional coordinates):
Ce 0.000 0.000 0.000
Pa 0.000 0.000 0.334
Pa 0.000 0.000 0.666
Pa 0.667 0.333 0.168
Pa 0.667 0.333 0.500
Pa 0.667 0.333 0.832



Entry 12:
First-principles (PBE) data for Ce2Pa after structural relaxation, as listed in Alexandria.

Values from the calculation:
**Energy above the lowest structure with this stoichiometry**: 219 meV/atom
**V**: 25.0 Å³ per atom
**ΔH_f (0 K)**: 0.2950 eV per atom

Lattice parameters (Å, degrees): 5.961 5.961 5.961 60.00 60.00 60.00
Atoms (fractional coordinates):
Ce 0.000 0.000 0.000
Ce 0.000 0.000 0.500
Ce 0.000 0.500 0.000
Ce 0.500 0.000 0.000
Pa 0.375 0.375 0.375
Pa 0.625 0.625 0.625